[1]
DFT (GGA-PBE) results for an optimized crystal structure of La2Pm6Y3.

- VASP energy: -5.0834 eV/atom
- Excess energy over the best structure of this formula in the dataset: 152 meV/atom
- Energy of formation from the pure elements: 16 kJ/mol of atoms

The structure in POSCAR format:
```
La2Pm6Y3
1.0
-0.441 -3.711 5.003
-2.767 -5.583 -0.488
10.186 -6.139 -1.019
Pm Y La
6 3 2
direct
0.083 0.333 0.753
0.917 0.667 0.247
0.584 0.333 0.247
0.749 0.000 0.753
0.416 0.667 0.753
0.251 0.000 0.247
0.335 0.331 0.000
0.000 0.000 0.000
0.665 0.669 0.000
0.833 0.334 0.500
0.167 0.666 0.500
```


[2]
DFT (GGA-PBE) results for an optimized crystal structure of RbZrAgS3.

- Formation energy (no corrections): -1.051 eV/atom
- VASP energy: -5.1756 eV/atom

The structure in POSCAR format:
```
RbZrAgS3
1.0
11.202 1.207 -0.209
6.315 9.330 -0.209
4.654 2.799 5.744
Ag Rb S Zr
2 2 6 2
direct
0.811 0.189 0.500
0.189 0.811 0.500
0.744 0.744 0.871
0.256 0.256 0.129
0.918 0.330 0.102
0.082 0.670 0.898
0.097 0.097 0.705
0.330 0.918 0.102
0.670 0.082 0.898
0.903 0.903 0.295
0.935 0.935 0.934
0.065 0.065 0.066
```


[3]
DFT (GGA-PBE) results for an optimized crystal structure of KRbRuF6.

- Formation energy (no corrections): -2.308 eV/atom
- VASP energy: -4.8157 eV/atom

The structure in POSCAR format:
```
KRbRuF6
1.0
-0.468 4.264 4.646
-4.658 -0.450 4.254
3.142 -3.049 3.116
F Ru Rb K
6 1 1 1
direct
0.078 0.590 0.706
0.333 0.078 0.707
0.078 0.333 0.293
0.590 0.077 0.294
0.333 0.589 0.293
0.589 0.333 0.707
0.333 0.333 0.500
0.000 0.000 0.000
0.667 0.667 0.500
```


[4]
DFT (GGA-PBE) results for an optimized crystal structure of Y2ZrNi9.

- VASP energy: -6.4951 eV/atom
- Energy of formation from the pure elements: -36 kJ/mol of atoms

The structure in POSCAR format:
```
Y2ZrNi9
1.0
-3.424 2.846 2.048
-1.864 -1.173 4.378
4.059 4.935 5.794
Ni Y Zr
9 2 1
direct
0.500 0.500 0.500
0.581 0.581 0.757
0.920 0.419 0.243
0.581 0.080 0.757
0.419 0.419 0.243
0.419 0.920 0.243
0.333 0.333 0.000
0.080 0.581 0.757
0.667 0.667 0.000
0.863 0.863 0.412
0.137 0.137 0.588
0.000 0.000 0.000
```


[5]
DFT (GGA-PBE) results for an optimized crystal structure of Tb3NdY6Ho2.

- VASP energy: -5.5312 eV/atom
- Energy of formation from the pure elements: 2 kJ/mol of atoms

The structure in POSCAR format:
```
Tb3NdY6Ho2
1.0
6.180 0.002 0.010
-3.087 5.354 0.010
-1.044 -1.808 11.641
Y Nd Tb Ho
6 1 3 2
direct
0.418 0.084 0.251
0.750 0.750 0.251
0.916 0.582 0.749
0.582 0.916 0.749
0.084 0.418 0.251
0.250 0.250 0.749
0.000 0.000 0.000
0.833 0.167 0.500
0.167 0.833 0.500
0.500 0.500 0.500
0.333 0.667 0.000
0.667 0.333 0.000
```


[6]
DFT (GGA-PBE) results for an optimized crystal structure of Mg2Cd2PPd4.

- VASP energy: -3.8932 eV/atom
- Energy of formation from the pure elements: -41 kJ/mol of atoms

The structure in POSCAR format:
```
Mg2Cd2PPd4
1.0
6.053 -0.008 -0.012
-2.913 5.306 0.012
-2.913 -1.853 4.972
Pd Mg Cd P
4 2 2 1
direct
0.469 0.734 0.734
0.531 0.266 0.266
0.000 0.266 0.734
0.000 0.734 0.266
0.000 0.292 0.292
0.000 0.708 0.708
0.500 0.750 0.250
0.500 0.250 0.750
0.000 0.000 0.000
```


Number 1: calculated density 5.91 Mg/m³. Number 2: calculated density 2.23 Mg/m³. Number 3: calculated density 3.03 Mg/m³. Number 4: calculated density 7.81 Mg/m³. Number 5: calculated density 6.39 Mg/m³. Number 6: calculated density 7.60 Mg/m³.